1.
The following is a DFT calculation (PBEsol) of crystalline ZrCd3 at its relaxed geometry.

```
ZrCd3
1.0
2.958 0.000 0.000
0.000 4.681 0.000
-1.056 0.000 5.927
Zr Cd
1 3
Direct
0.000 0.000 0.000 Zr
0.372 0.500 0.754 Cd
0.500 0.000 0.500 Cd
0.628 0.500 0.246 Cd
```

Values from the calculation:
crystal system	monoclinic
DOS at the Fermi energy	1.744	states/eV/cell
calculated density	8.67	g/cm3
formation energy	-0.087	eV/atom
space group	No. 10


2.
The following is a DFT calculation (PBEsol) of crystalline Cs2NaCeCl6 at its relaxed geometry.

```
Cs2NaCeCl6
1.0
0.000 5.427 5.427
5.427 0.000 5.427
5.427 5.427 0.000
Cs Na Ce Cl
2 1 1 6
Direct
0.250 0.250 0.250 Cs
0.750 0.750 0.750 Cs
0.000 0.000 0.000 Na
0.500 0.500 0.500 Ce
0.250 0.250 0.750 Cl
0.250 0.750 0.250 Cl
0.250 0.750 0.750 Cl
0.750 0.250 0.250 Cl
0.750 0.250 0.750 Cl
0.750 0.750 0.250 Cl
```

Values from the calculation:
ΔE_f (raw)	-2.05	eV per atom
crystal system	cubic
DOS at the Fermi energy	8.342	states/eV/cell
calculated density	3.33	g/cm3
space group	No. 225


- DOS at the Fermi energy of number 1 (ZrCd3)?
  1.744 states/eV/cell


- Number 1 is which compound?
  ZrCd3


- DOS at the Fermi energy of number 2 (Cs2NaCeCl6)?
  8.342 states/eV/cell